[1]
{"formula": "Mg3ZnGa3Rh2", "functional": "GGA-PBE", "state": "relaxed", "cell": [[7.417, 0.000, 0.000], [-3.708, 6.423, 0.000], [0.000, 0.000, 3.021]], "species": ["Mg", "Mg", "Mg", "Zn", "Ga", "Ga", "Ga", "Rh", "Rh"], "frac_coords": [[0.000, 0.706, 0.000], [0.294, 0.294, 0.000], [0.706, 0.000, 0.000], [0.000, 0.000, 0.500], [0.000, 0.378, 0.500], [0.378, 0.000, 0.500], [0.622, 0.622, 0.500], [0.333, 0.667, 0.000], [0.667, 0.333, 0.000]], "ef_ev_per_atom": -0.3289, "crystal_system": "hexagonal", "sg": "P-62m", "volume_a3_per_atom": 15.993, "mass_density_g_cm3": 6.4}


[2]
{"formula": "Mg2ZnGa2Rh2", "functional": "GGA-PBE", "state": "relaxed", "cell": [[0.000, 2.294, 10.506], [2.287, 0.000, 10.506], [2.287, 2.294, 0.000]], "species": ["Mg", "Mg", "Zn", "Ga", "Ga", "Rh", "Rh"], "frac_coords": [[0.079, 0.079, 0.921], [0.921, 0.921, 0.079], [0.500, 0.500, 0.500], [0.213, 0.213, 0.787], [0.787, 0.787, 0.213], [0.344, 0.344, 0.656], [0.656, 0.656, 0.344]], "ef_ev_per_atom": -0.4442, "crystal_system": "orthorhombic", "sg": "Fmmm", "volume_a3_per_atom": 15.747, "mass_density_g_cm3": 6.9}


[3]
{"formula": "MgZnGaRh", "functional": "GGA-PBE", "state": "relaxed", "cell": [[2.090, 1.207, 4.522], [-2.090, 1.207, 4.522], [0.000, -2.413, 4.522]], "species": ["Mg", "Zn", "Ga", "Rh"], "frac_coords": [[0.000, 0.000, 0.000], [0.423, 0.423, 0.423], [0.811, 0.811, 0.811], [0.206, 0.206, 0.206]], "ef_ev_per_atom": -0.2370, "crystal_system": "trigonal", "sg": "R3m", "volume_a3_per_atom": 17.101, "mass_density_g_cm3": 6.4}


[4]
{"formula": "MgZnGa2Rh2", "functional": "GGA-PBE", "state": "relaxed", "cell": [[4.368, 0.000, 0.000], [-2.184, 3.783, 0.000], [0.000, 0.000, 5.403]], "species": ["Mg", "Zn", "Ga", "Ga", "Rh", "Rh"], "frac_coords": [[0.000, 0.000, 0.000], [0.000, 0.000, 0.500], [0.333, 0.667, 0.781], [0.667, 0.333, 0.219], [0.333, 0.667, 0.291], [0.667, 0.333, 0.709]], "ef_ev_per_atom": -0.4751, "crystal_system": "trigonal", "sg": "P-3m1", "volume_a3_per_atom": 14.881, "mass_density_g_cm3": 8.1}


[5]
{"formula": "Mg2ZnGaRh", "functional": "GGA-PBE", "state": "relaxed", "cell": [[-1.519, 2.243, 6.468], [1.519, -2.243, 6.468], [1.519, 2.243, -6.468]], "species": ["Mg", "Mg", "Zn", "Ga", "Rh"], "frac_coords": [[0.000, 0.000, 0.000], [0.349, 0.349, 0.000], [0.567, 0.567, 0.000], [0.767, 0.767, 0.000], [0.176, 0.676, 0.500]], "ef_ev_per_atom": -0.2667, "crystal_system": "orthorhombic", "sg": "Imm2", "volume_a3_per_atom": 17.632, "mass_density_g_cm3": 5.4}


[6]
{"formula": "MgGa6Ru5", "functional": "GGA-PBE", "state": "relaxed", "cell": [[-2.154, 3.110, 6.412], [2.154, -3.110, 6.412], [2.154, 3.110, -6.412]], "species": ["Mg", "Ga", "Ga", "Ga", "Ga", "Ga", "Ga", "Ru", "Ru", "Ru", "Ru", "Ru"], "frac_coords": [[0.000, 0.000, 0.000], [0.089, 0.825, 0.264], [0.278, 0.500, 0.778], [0.439, 0.175, 0.264], [0.561, 0.825, 0.736], [0.722, 0.500, 0.222], [0.911, 0.175, 0.736], [0.149, 0.649, 0.500], [0.330, 0.330, 0.000], [0.500, 0.000, 0.500], [0.670, 0.670, 0.000], [0.851, 0.351, 0.500]], "ef_ev_per_atom": -0.3305, "crystal_system": "orthorhombic", "sg": "Immm", "volume_a3_per_atom": 14.321, "mass_density_g_cm3": 9.2}


Number 1: size of the total moment 0.000 μB/atom. Number 2: size of the total moment 0.000 μB/atom. Number 3: size of the total moment 0.000 μB/atom. Number 4: size of the total moment 0.000 μB/atom. Number 5: size of the total moment 0.000 μB/atom. Number 6: size of the total moment 0.000 μB/atom.